(1)
The following is a DFT calculation (PBE) of a relaxed structure of CsCa2GaPd.

Summary:
DFT formation energy   -0.208 eV per atom
Raw total energy   -2.8235 eV per atom

Lattice parameters (Å, degrees): 5.748 5.748 5.047 90.00 90.00 90.00
Element x y z (fractional)
Cs (0.000, 0.000, 0.000)
Ca (0.000, 0.500, 0.500)
Ca (0.500, 0.000, 0.500)
Ga (0.500, 0.500, 0.000)
Pd (0.500, 0.500, 0.500)

(2)
The following is a DFT calculation (PBE) of a relaxed structure of CaTb2Tm.

Summary:
DFT formation energy   0.156 eV per atom
Raw total energy   -3.7778 eV per atom
Excess energy over the best structure of this formula in the dataset   0.094 eV/atom

Lattice parameters (Å, degrees): 12.710 12.710 12.710 15.98 15.98 15.98
Element x y z (fractional)
Ca (0.000, 0.000, 0.000)
Tb (0.092, 0.092, 0.092)
Tb (0.908, 0.908, 0.908)
Tm (0.500, 0.500, 0.500)

(3)
The following is a DFT calculation (PBE) of a relaxed structure of PrEr3Tm2Bi6.

Summary:
DFT formation energy   -0.820 eV per atom
Raw total energy   -5.0450 eV per atom

Lattice parameters (Å, degrees): 10.007 10.007 8.954 102.91 102.91 25.86
Element x y z (fractional)
Pr (0.000, 0.000, 0.000)
Er (0.000, 0.000, 0.500)
Er (0.335, 0.335, 0.168)
Er (0.665, 0.665, 0.832)
Tm (0.332, 0.332, 0.666)
Tm (0.668, 0.668, 0.334)
Bi (0.167, 0.167, 0.582)
Bi (0.171, 0.171, 0.086)
Bi (0.499, 0.499, 0.740)
Bi (0.501, 0.501, 0.260)
Bi (0.829, 0.829, 0.914)
Bi (0.833, 0.833, 0.418)

(4)
The following is a DFT calculation (PBE) of a relaxed structure of ZrIn2.

Summary:
DFT formation energy   -0.044 eV per atom
Raw total energy   -4.7188 eV per atom

Lattice parameters (Å, degrees): 5.767 5.767 5.767 60.00 60.00 60.00
Element x y z (fractional)
Zr (0.125, 0.125, 0.125)
Zr (0.875, 0.875, 0.875)
In (0.000, 0.500, 0.500)
In (0.500, 0.000, 0.500)
In (0.500, 0.500, 0.000)
In (0.500, 0.500, 0.500)

(5)
The following is a DFT calculation (PBE) of a relaxed structure of K3Cd2Au2.

Summary:
DFT formation energy   -0.238 eV per atom
Raw total energy   -1.9063 eV per atom

Lattice parameters (Å, degrees): 6.678 9.242 15.038 90.00 90.00 90.00
Element x y z (fractional)
K (0.134, 0.109, 0.097)
K (0.134, 0.109, 0.403)
K (0.134, 0.391, 0.597)
K (0.134, 0.391, 0.903)
K (0.356, 0.736, 0.750)
K (0.356, 0.764, 0.250)
K (0.644, 0.236, 0.750)
K (0.644, 0.264, 0.250)
K (0.866, 0.609, 0.097)
K (0.866, 0.609, 0.403)
K (0.866, 0.891, 0.597)
K (0.866, 0.891, 0.903)
Cd (0.173, 0.087, 0.750)
Cd (0.173, 0.413, 0.250)
Cd (0.388, 0.750, 0.000)
Cd (0.388, 0.750, 0.500)
Cd (0.612, 0.250, 0.000)
Cd (0.612, 0.250, 0.500)
Cd (0.827, 0.587, 0.750)
Cd (0.827, 0.913, 0.250)
Au (0.382, 0.024, 0.590)
Au (0.382, 0.024, 0.910)
Au (0.382, 0.476, 0.090)
Au (0.382, 0.476, 0.410)
Au (0.618, 0.524, 0.590)
Au (0.618, 0.524, 0.910)
Au (0.618, 0.976, 0.090)
Au (0.618, 0.976, 0.410)

(6)
The following is a DFT calculation (PBE) of a relaxed structure of PmBiF6.

Summary:
Formation energy without anion corrections   -311.8 kJ per mole of atoms
Raw total energy   -5.7145 eV per atom
Excess energy over the best structure of this formula in the dataset   0.000 eV/atom

Lattice parameters (Å, degrees): 5.895 5.897 6.460 62.90 62.89 60.05
Element x y z (fractional)
Pm (0.000, 0.000, 0.000)
Bi (0.500, 0.500, 0.500)
F (0.142, 0.750, 0.751)
F (0.250, 0.643, 0.249)
F (0.357, 0.142, 0.751)
F (0.643, 0.858, 0.249)
F (0.750, 0.357, 0.751)
F (0.858, 0.250, 0.249)

(7)
The following is a DFT calculation (PBE) of a relaxed structure of Th2TcGe6Os.

Summary:
DFT formation energy   -0.243 eV per atom
Raw total energy   -6.6570 eV per atom

Lattice parameters (Å, degrees): 13.355 13.355 13.355 26.38 26.38 26.38
Element x y z (fractional)
Th (0.108, 0.108, 0.108)
Th (0.304, 0.304, 0.304)
Th (0.696, 0.696, 0.696)
Th (0.892, 0.892, 0.892)
Tc (0.000, 0.000, 0.000)
Tc (0.500, 0.500, 0.500)
Ge (0.074, 0.657, 0.657)
Ge (0.227, 0.227, 0.667)
Ge (0.227, 0.667, 0.227)
Ge (0.333, 0.773, 0.773)
Ge (0.343, 0.343, 0.926)
Ge (0.343, 0.926, 0.343)
Ge (0.657, 0.074, 0.657)
Ge (0.657, 0.657, 0.074)
Ge (0.667, 0.227, 0.227)
Ge (0.773, 0.333, 0.773)
Ge (0.773, 0.773, 0.333)
Ge (0.926, 0.343, 0.343)
Os (0.425, 0.425, 0.425)
Os (0.575, 0.575, 0.575)

(8)
The following is a DFT calculation (PBE) of a relaxed structure of LaSb2Mo.

Summary:
Formation energy without anion corrections   21.9 kJ per mole of atoms
Raw total energy   -5.7738 eV per atom
Excess energy over the best structure of this formula in the dataset   0.520 eV/atom

Lattice parameters (Å, degrees): 5.167 5.167 5.167 60.00 60.00 60.00
Element x y z (fractional)
La (0.000, 0.000, 0.000)
Sb (0.500, 0.500, 0.500)
Sb (0.750, 0.750, 0.750)
Mo (0.250, 0.250, 0.250)